Li9CaCd2 | PBE | relaxed

## Properties
Mass density = 2.12 Mg/m³
Total magnetic moment = 0.00 μB per cell
DOS(E_F) = 5.252 states/eV/f.u.
Energy of formation = -0.10 eV/atom

Lattice parameters (Å, degrees): 7.5470 9.0608 9.0608 80.01 65.39 65.39
Last column: nearest neighbours and their distance in Å.
Atoms (fractional coordinates):
Li: 0.7500 0.5000 0.5000  4 Cd 3.06, 8 Li 3.12
Li: 0.0000 0.0000 0.0000  4 Cd 3.06, 8 Li 3.12
Li: 0.0095 0.9191 0.6753  7 Li 2.84-3.16, 2 Cd 2.84
Li: 0.6039 0.0809 0.3247  7 Li 2.84-3.16, 2 Cd 2.84
Li: 0.6786 0.1753 0.5809  7 Li 2.84-3.16, 2 Cd 2.84
Li: 0.4348 0.8247 0.4191  7 Li 2.84-3.16, 2 Cd 2.84
Li: 0.7405 0.8247 0.5809  7 Li 2.84-3.16, 2 Cd 2.84
Li: 0.1461 0.1753 0.4191  7 Li 2.84-3.16, 2 Cd 2.84
Li: 0.0714 0.9191 0.3247  7 Li 2.84-3.16, 2 Cd 2.84
Li: 0.3152 0.0809 0.6753  7 Li 2.84-3.16, 2 Cd 2.84
Li: 0.7405 0.5809 0.8247  7 Li 2.84-3.16, 2 Cd 2.84
Li: 0.1461 0.4191 0.1753  7 Li 2.84-3.16, 2 Cd 2.84
Li: 0.0714 0.3247 0.9191  7 Li 2.84-3.16, 2 Cd 2.84
Li: 0.3152 0.6753 0.0809  7 Li 2.84-3.16, 2 Cd 2.84
Li: 0.0095 0.6753 0.9191  7 Li 2.84-3.16, 2 Cd 2.84
Li: 0.6039 0.3247 0.0809  7 Li 2.84-3.16, 2 Cd 2.84
Li: 0.6786 0.5809 0.1753  7 Li 2.84-3.16, 2 Cd 2.84
Li: 0.4348 0.4191 0.8247  7 Li 2.84-3.16, 2 Cd 2.84
Ca: 0.5000 0.0000 0.0000  18 Li 3.60-3.77
Ca: 0.2500 0.5000 0.5000  18 Li 3.60-3.77
Cd: 0.8750 0.2500 0.7500  10 Li 2.84-3.06
Cd: 0.8750 0.7500 0.2500  10 Li 2.84-3.06
Cd: 0.8750 0.2500 0.2500  10 Li 2.84-3.06
Cd: 0.3750 0.7500 0.7500  10 Li 2.84-3.06